A relaxed Zr2NbSb crystal. Source: OQMD via LeMat-Bulk, functional PBE.

The space group is F-43m (No. 216) and the conventional cell measures 6.9181, 6.9181 and 6.9181 Å, with angles of 90.00, 90.00 and 90.00 degrees. The inequivalent atoms are Zr at (0.0000, 0.0000, 0.0000), Zr at (0.2500, 0.2500, 0.2500), Nb at (0.2500, 0.2500, 0.7500) and Sb at (0.0000, 0.0000, 0.5000).

The value obtained for the energy is -7.96 eV per atom.